(1)
## ZnTe2Se (meta-GGA SCAN)

Data for a PBEsol-optimized structure of ZnTe2Se.

Unit cell a=8.0466 b=8.0466 c=8.0466 alpha=152.11 beta=152.11 gamma=39.86
With the nearest neighbours (Å) after each atom.
Positions (direct):
1 Zn 0.0000 0.0000 0.0000  4 Te 2.74
2 Te 0.2500 0.7500 0.5000  4 Se 2.74
3 Te 0.5000 0.5000 0.0000  4 Zn 2.74
4 Se 0.7500 0.2500 0.5000  4 Te 2.74

Calculated values
**M_tot**: 0.00 μB/f.u.
**E_tot**: -107.620 eV/cell

=====

(2)
## ZrTeSe (meta-GGA SCAN)

Data for a PBEsol-optimized structure of ZrTeSe.

Unit cell a=6.9436 b=6.9436 c=6.9436 alpha=152.30 beta=152.30 gamma=39.58
With the nearest neighbours (Å) after each atom.
Positions (direct):
1 Zr 0.0000 0.0000 0.0000  4 Se 2.75
2 Te 0.3416 0.3416 0.0000  4 Zr 3.13, 4 Te 3.32, 1 Se 3.50
3 Se 0.6091 0.6091 0.0000  4 Zr 2.75

Calculated values
**M_tot**: 0.00 μB/f.u.
**E_tot**: -90.953 eV/cell

=====

(3)
## ZrTeSe (meta-GGA SCAN)

Data for a PBEsol-optimized structure of ZrTeSe.

Unit cell a=3.7918 b=3.7918 c=6.4047 alpha=90.00 beta=90.00 gamma=120.00
With the nearest neighbours (Å) after each atom.
Positions (direct):
1 Zr 0.0000 0.0000 0.0000  3 Se 2.66, 3 Te 2.90
2 Te 0.6667 0.3333 0.2963  3 Zr 2.90
3 Se 0.3333 0.6667 0.7630  3 Zr 2.66

Calculated values
**M_tot**: 0.00 μB/f.u.
**E_tot**: -91.735 eV/cell

=====

(4)
## ZrTeSe2 (meta-GGA SCAN)

Data for a PBEsol-optimized structure of ZrTeSe2.

Unit cell a=4.9320 b=4.9320 c=4.9320 alpha=60.00 beta=60.00 gamma=60.00
With the nearest neighbours (Å) after each atom.
Positions (direct):
1 Zr 0.0000 0.0000 0.0000  4 Te 3.02, 4 Se 3.02
2 Te 0.7500 0.7500 0.7500  4 Zr 3.02, 4 Se 3.02
3 Se 0.2500 0.2500 0.2500  4 Se 3.02, 4 Zr 3.02
4 Se 0.5000 0.5000 0.5000  4 Te 3.02, 4 Se 3.02

Calculated values
**M_tot**: 0.00 μB/f.u.
**E_tot**: -108.951 eV/cell

=====

(5)
## ThSe (meta-GGA SCAN)

Data for a PBEsol-optimized structure of ThSe.

Unit cell a=4.1538 b=4.1538 c=4.1538 alpha=60.00 beta=60.00 gamma=60.00
With the nearest neighbours (Å) after each atom.
Positions (direct):
1 Th 0.0000 0.0000 0.0000  6 Se 2.94
2 Se 0.5000 0.5000 0.5000  6 Th 2.94

Calculated values
**M_tot**: 0.00 μB/f.u.
**E_tot**: -119.122 eV/cell

=====

(6)
## Ti19Se20 (meta-GGA SCAN)

Data for a PBEsol-optimized structure of Ti19Se20.

Unit cell a=6.7710 b=9.4988 c=11.1463 alpha=90.77 beta=98.73 gamma=110.88
With the nearest neighbours (Å) after each atom.
Positions (direct):
1 Ti 0.0000 0.0000 0.0000  6 Se 2.54-2.57
2 Ti 0.0000 0.5000 0.0000  6 Se 2.56-2.59
3 Ti 0.0993 0.3988 0.6030  6 Se 2.56-2.58
4 Ti 0.0996 0.8985 0.6052  6 Se 2.56-2.59
5 Ti 0.1923 0.7918 0.2053  6 Se 2.54-2.60
6 Ti 0.1942 0.2870 0.2020  6 Se 2.55-2.60
7 Ti 0.2976 0.2079 0.7947  6 Se 2.54-2.60
8 Ti 0.3048 0.7080 0.8026  6 Se 2.54-2.59
9 Ti 0.3987 0.1022 0.3944  6 Se 2.56-2.60
10 Ti 0.3991 0.6011 0.3975  6 Se 2.55-2.58
11 Ti 0.5000 0.5000 0.0000  6 Se 2.56-2.59
12 Ti 0.6009 0.3989 0.6025  6 Se 2.55-2.58
13 Ti 0.6013 0.8978 0.6056  6 Se 2.56-2.60
14 Ti 0.6952 0.2920 0.1974  6 Se 2.54-2.59
15 Ti 0.7024 0.7921 0.2053  6 Se 2.54-2.60
16 Ti 0.8058 0.7130 0.7980  6 Se 2.55-2.60
17 Ti 0.8077 0.2082 0.7947  6 Se 2.54-2.60
18 Ti 0.9004 0.1015 0.3948  6 Se 2.56-2.59
19 Ti 0.9007 0.6012 0.3970  6 Se 2.56-2.58
20 Se 0.0349 0.8847 0.3694  6 Ti 2.55-2.59
21 Se 0.0637 0.5096 0.2326  6 Ti 2.54-2.60
22 Se 0.1331 0.2834 0.9655  6 Ti 2.56-2.60
23 Se 0.1777 0.9241 0.8383  5 Ti 2.54-2.60
24 Se 0.2328 0.6829 0.5669  6 Ti 2.57-2.59
25 Se 0.2671 0.3176 0.4343  6 Ti 2.55-2.58
26 Se 0.3343 0.0757 0.1616  5 Ti 2.54-2.60
27 Se 0.3686 0.7197 0.0347  5 Ti 2.55-2.60
28 Se 0.4374 0.4900 0.7671  6 Ti 2.54-2.60
29 Se 0.4662 0.1165 0.6311  6 Ti 2.55-2.60
30 Se 0.5338 0.8835 0.3689  6 Ti 2.55-2.60
31 Se 0.5626 0.5100 0.2329  6 Ti 2.54-2.60
32 Se 0.6314 0.2803 0.9653  5 Ti 2.55-2.60
33 Se 0.6657 0.9243 0.8384  5 Ti 2.54-2.60
34 Se 0.7329 0.6824 0.5657  6 Ti 2.55-2.58
35 Se 0.7672 0.3171 0.4331  6 Ti 2.57-2.59
36 Se 0.8223 0.0759 0.1617  5 Ti 2.54-2.60
37 Se 0.8669 0.7166 0.0345  6 Ti 2.56-2.60
38 Se 0.9363 0.4904 0.7674  6 Ti 2.54-2.60
39 Se 0.9651 0.1153 0.6306  6 Ti 2.55-2.59

Calculated values
**M_tot**: 0.00 μB/f.u.
**E_tot**: -752.740 eV/cell